(1)
DyPd2Pt2 | GGA-PBE | optimized geometry

POSCAR file:
```
DyPd2Pt2
1.0
-3.0306 2.1628 2.8938
0.0592 -4.7079 -0.2614
7.2699 -0.3457 7.8721
Dy Pt Pd
2 4 4
direct
0.0000 0.0000 0.7500
0.0000 0.0000 0.2500
0.0000 0.0000 0.0000
0.3333 0.6667 0.2500
0.6667 0.3333 0.7500
0.0000 0.0000 0.5000
0.6667 0.3333 0.9979
0.6667 0.3333 0.5021
0.3333 0.6667 0.0021
0.3333 0.6667 0.4979
```

Calculated values
size of the total moment	0.00	μB/f.u.
DFT formation energy	-1.88	eV per formula unit
space group	No. 194
polymorph energy (0 for the lowest one)	0	meV per atom

(2)
Be2AgW | GGA-PBE | optimized geometry

POSCAR file:
```
Be2AgW
1.0
8.2709 -0.0116 -0.0069
7.8130 2.7138 -0.0069
7.8130 1.3126 2.3752
Ag Be W
1 2 1
direct
0.7500 0.7500 0.7500
0.9991 0.9991 0.9991
0.5009 0.5009 0.5009
0.2500 0.2500 0.2500
```

Calculated values
size of the total moment	0.00	μB/f.u.
DFT formation energy	1.45	eV per formula unit
space group	No. 166
polymorph energy (0 for the lowest one)	189	meV per atom